! PBE KBaCu2, relaxed; values from VASP
&SYSTEM
  ibrav = 0, nat = 4, ntyp = 3
/
ATOMIC_SPECIES
Ba 137.33 Ba.upf
Cu 63.55 Cu.upf
K 39.10 K.upf
CELL_PARAMETERS angstrom
5.569 0.008 -0.023
-0.008 5.569 -0.023
0.012 0.012 3.967
ATOMIC_POSITIONS angstrom
Ba 0.002 2.790 1.972
Cu 0.000 0.000 0.000
Cu 2.781 2.789 -0.023
K 2.790 0.010 1.972
! M_tot, μB per cell: 0.00
! ΔE_f, meV/atom: 271
! Polymorph energy (0 for the lowest one), meV per atom: 129
! Space-group type: C2/m (12)
! Volume, A^3/atom: 30.76
! Uncorrected energy, eV/atom: -2.5323

! PBE KBaCu2, relaxed; values from VASP
&SYSTEM
  ibrav = 0, nat = 8, ntyp = 3
/
ATOMIC_SPECIES
K 39.10 K.upf
Ba 137.33 Ba.upf
Cu 63.55 Cu.upf
CELL_PARAMETERS angstrom
8.615 0.000 0.000
0.000 8.615 0.000
4.307 4.307 3.765
ATOMIC_POSITIONS angstrom
K 4.307 4.307 0.000
K 4.307 8.615 1.883
Ba 0.000 0.000 0.000
Ba 8.615 4.307 1.883
Cu 6.459 2.154 0.941
Cu 2.155 6.461 0.941
Cu 6.461 6.462 2.824
Cu 10.768 10.767 2.824
! M_tot, μB per cell: 0.00
! ΔE_f, meV/atom: 451
! Polymorph energy (0 for the lowest one), meV per atom: 309
! Space-group type: I-42d (122)
! Volume, A^3/atom: 34.93
! Uncorrected energy, eV/atom: -2.3517

! PBE KBaCu2, relaxed; values from VASP
&SYSTEM
  ibrav = 0, nat = 4, ntyp = 3
/
ATOMIC_SPECIES
Ba 137.33 Ba.upf
Cu 63.55 Cu.upf
K 39.10 K.upf
CELL_PARAMETERS angstrom
-1.207 2.011 -3.530
3.440 -1.454 -2.005
-3.971 -6.311 -2.236
ATOMIC_POSITIONS angstrom
Ba -1.862 -4.455 -4.445
Cu -3.635 -5.776 -2.047
Cu -2.322 -3.691 -1.308
K 0.123 -1.299 -3.327
! M_tot, μB per cell: 0.00
! ΔE_f, meV/atom: 219
! Polymorph energy (0 for the lowest one), meV per atom: 77
! Space-group type: P4/mmm (123)
! Volume, A^3/atom: 34.96
! Uncorrected energy, eV/atom: -2.5845

! PBE KBa2Cu, relaxed; values from VASP
&SYSTEM
  ibrav = 0, nat = 4, ntyp = 3
/
ATOMIC_SPECIES
Ba 137.33 Ba.upf
Cu 63.55 Cu.upf
K 39.10 K.upf
CELL_PARAMETERS angstrom
-0.270 -3.515 4.779
1.115 -4.729 -3.415
4.989 0.636 0.750
ATOMIC_POSITIONS angstrom
Ba 0.000 0.000 0.000
Ba 0.423 -4.122 0.682
Cu 2.360 -1.440 2.764
K 3.052 -2.047 -1.333
! M_tot, μB per cell: 0.00
! ΔE_f, meV/atom: 327
! Polymorph energy (0 for the lowest one), meV per atom: 292
! Space-group type: P4/mmm (123)
! Volume, A^3/atom: 44.84
! Uncorrected energy, eV/atom: -1.9331